No. 1
GGA-PBEsol AlIr2Os, optimized geometry; raw total energy = -9.21 eV per atom
1.0
4.4542 -1.3670 0.0000
4.4542 1.3670 0.0000
-0.8061 0.0000 4.5706
Al Ir Os
1 2 1
Direct
0.0000 0.0000 0.0000 Al
0.2500 0.2500 0.7474 Ir
0.7500 0.7500 0.2526 Ir
0.5000 0.5000 0.5000 Os



No. 2
GGA-PBEsol Al2PIr, optimized geometry; raw total energy = -6.03 eV per atom
1.0
0.0000 3.0565 3.0565
3.0565 0.0000 3.0565
3.0565 3.0565 0.0000
Al P Ir
2 1 1
Direct
0.0000 0.0000 0.0000 Al
0.2500 0.2500 0.2500 Al
0.5000 0.5000 0.5000 P
0.7500 0.7500 0.7500 Ir



No. 3
GGA-PBEsol Al2PIr, optimized geometry; raw total energy = -6.30 eV per atom
1.0
2.8473 0.0000 0.0000
0.0000 2.8473 0.0000
0.0000 0.0000 7.1016
Al P Ir
2 1 1
Direct
0.0000 0.0000 0.2305 Al
0.0000 0.0000 0.7695 Al
0.5000 0.5000 0.5000 P
0.5000 0.5000 0.0000 Ir



No. 4
GGA-PBEsol AlP2Ir, optimized geometry; raw total energy = -6.58 eV per atom
1.0
1.7916 1.0344 5.5409
-1.7916 1.0344 5.5409
0.0000 -2.0688 5.5409
Al P Ir
1 2 1
Direct
0.0000 0.0000 0.0000 Al
0.2411 0.2411 0.2411 P
0.7589 0.7589 0.7589 P
0.5000 0.5000 0.5000 Ir



No. 5
GGA-PBEsol AlIrPb, optimized geometry; raw total energy = -5.90 eV per atom
1.0
3.1954 0.0000 0.0000
-1.5977 2.7673 0.0000
0.0000 0.0000 6.4069
Al Ir Pb
1 1 1
Direct
0.0000 0.0000 0.0000 Al
0.6667 0.3333 0.7423 Ir
0.3333 0.6667 0.3966 Pb



No. 6
GGA-PBEsol AlIrPb2, optimized geometry; raw total energy = -5.00 eV per atom
1.0
4.0572 0.0000 0.0000
0.0000 4.4881 0.0000
0.0000 0.0000 4.5540
Al Ir Pb
1 1 2
Direct
0.0000 0.0000 0.0000 Al
0.0000 0.5000 0.5000 Ir
0.5000 0.0000 0.5000 Pb
0.5000 0.5000 0.0000 Pb



No. 7
GGA-PBEsol AlIrPb2, optimized geometry; raw total energy = -5.00 eV per atom
1.0
3.0649 -4.0393 0.0000
3.0649 4.0393 0.0000
0.0000 0.0000 3.3436
Al Ir Pb
1 1 2
Direct
0.0000 0.0000 0.0000 Al
0.5000 0.5000 0.0000 Ir
0.0000 0.5000 0.5000 Pb
0.5000 0.0000 0.5000 Pb



No. 8
GGA-PBEsol AlIrPb2, optimized geometry; raw total energy = -5.13 eV per atom
1.0
3.2537 0.0000 0.0000
0.0000 3.2537 0.0000
0.0000 0.0000 8.0440
Al Ir Pb
1 1 2
Direct
0.0000 0.0000 0.0000 Al
0.0000 0.0000 0.5000 Ir
0.5000 0.5000 0.2804 Pb
0.5000 0.5000 0.7196 Pb